Below is a geometry-optimized K2CoP4H8O16 structure, with properties calculated at the PBE+U level.

Space-group type: P-1
Uncorrected energy (eV/cell): -187.76

Unit cell a=6.7233 b=7.1769 c=7.3857 alpha=80.24 beta=72.76 gamma=83.09
Last column: nearest neighbours and their distance in Å.
Atoms (fractional coordinates):
1 K 0.1009 0.2317 0.3043  6 O 2.66-2.88, 1 H 2.93
2 K 0.8991 0.7683 0.6957  6 O 2.66-2.88, 1 H 2.93
3 Co 0.5000 0.0000 0.5000  6 O 2.07-2.09
4 P 0.2444 0.3128 0.7669  4 O 1.51-1.62
5 P 0.3177 0.7721 0.2400  4 O 1.51-1.62
6 P 0.6823 0.2279 0.7600  4 O 1.51-1.62
7 P 0.7556 0.6872 0.2331  4 O 1.51-1.62
8 H 0.0634 0.7737 0.0601  1 O 1.06
9 H 0.2446 0.5391 0.4704  1 O 1.07
10 H 0.3756 0.8241 0.8581  1 O 1.00
11 H 0.3906 0.6790 0.7116  1 O 1.00
12 H 0.6094 0.3210 0.2884  1 O 1.00
13 H 0.6244 0.1759 0.1419  1 O 1.00
14 H 0.7554 0.4609 0.5296  1 O 1.07
15 H 0.9366 0.2263 0.9399  1 O 1.06
16 O 0.0583 0.3003 0.9524  1 H 1.06
17 O 0.2280 0.5743 0.3293  1 H 1.07
18 O 0.2306 0.8609 0.0751  1 H 1.39, 1 P 1.52
19 O 0.2446 0.1677 0.6413  1 P 1.51
20 O 0.2607 0.5156 0.6619  1 H 1.43, 1 P 1.53
21 O 0.2861 0.8920 0.3970  1 P 1.51
22 O 0.4363 0.2677 0.8627  2 P 1.62
23 O 0.4594 0.7863 0.7321  2 H 1.00
24 O 0.5406 0.2137 0.2679  2 H 1.00
25 O 0.5637 0.7323 0.1373  2 P 1.62
26 O 0.7139 0.1080 0.6030  1 P 1.51
27 O 0.7393 0.4844 0.3381  1 H 1.43, 1 P 1.53
28 O 0.7554 0.8323 0.3587  1 P 1.51
29 O 0.7694 0.1391 0.9249  1 H 1.39, 1 P 1.52
30 O 0.7720 0.4257 0.6707  1 H 1.07
31 O 0.9417 0.6997 0.0476  1 H 1.06